[1]
Density functional theory data (PBE) for a geometry-optimized LaFe2GeH structure.

abc: 4.2079 4.5875 4.2079
angles: 90.00 90.00 90.00
Last column: nearest neighbours and their distance in Å.
Sites, in units of the cell vectors:
H 0.0000 0.0000 0.0000  4 Fe 2.10, 2 La 2.29
Ge 0.5000 0.5000 0.5000  4 La 2.98, 8 Fe 3.11
Fe 0.0000 0.0000 0.5000  2 H 2.10
Fe 0.5000 0.0000 0.0000  2 H 2.10
La 0.0000 0.5000 0.0000  2 H 2.29

Summary:
* total magnetization: 1.14 μB/atom
* energy: -5.758 eV per atom
* DOS at the Fermi energy: 1.32 states/eV/atom
* SG: P4/mmm (123)
* crystal system: tetragonal



[2]
Density functional theory data (PBE) for a geometry-optimized Pu3Tl4AuSe8 structure.

abc: 8.2294 9.0863 8.3896
angles: 117.53 119.37 90.00
Last column: nearest neighbours and their distance in Å.
Sites, in units of the cell vectors:
Pu 0.5000 0.5000 0.0000  6 Se 2.87-2.89
Pu 0.5000 0.5000 0.5000  6 Se 2.84-2.89
Pu 0.0000 0.5000 0.5000  6 Se 2.84-2.89
Tl 0.5000 0.0000 0.0000  6 Se 3.19-3.36
Tl 0.5000 0.0000 0.5000  6 Se 3.29-3.37
Tl 0.0000 0.0000 0.0000  6 Se 3.29-3.36
Tl 0.0000 0.0000 0.5000  6 Se 3.29-3.37
Au 0.0000 0.5000 0.0000  6 Se 2.80-3.08
Se 0.2269 0.6988 0.9663  1 Au 2.80, 2 Pu 2.87-2.89
Se 0.2484 0.7134 0.4969  2 Pu 2.84, 1 Au 3.08
Se 0.2667 0.2953 0.5334  3 Pu 2.87-2.89
Se 0.7394 0.6988 0.9663  1 Au 2.80, 2 Pu 2.87-2.89
Se 0.2606 0.3012 0.0337  1 Au 2.80, 2 Pu 2.87-2.89
Se 0.7333 0.7047 0.4666  3 Pu 2.87-2.89
Se 0.7516 0.2866 0.5031  2 Pu 2.84, 1 Au 3.08
Se 0.7731 0.3012 0.0337  1 Au 2.80, 2 Pu 2.87-2.89

Summary:
* total magnetization: 0.83 μB/atom
* energy: -6.069 eV per atom
* formation energy without anion corrections: -0.843 eV/atom
* DOS at the Fermi energy: 1.92 states/eV/atom
* SG: C2/m (12)
* crystal system: monoclinic



[3]
Density functional theory data (PBE) for a geometry-optimized NiMoPt2 structure.

abc: 4.6746 4.6746 2.7402
angles: 90.00 90.00 90.00
Last column: nearest neighbours and their distance in Å.
Sites, in units of the cell vectors:
Mo 0.5000 0.0000 0.5000  8 Pt 2.71, 2 Mo 2.74
Ni 0.0000 0.5000 0.5000  8 Pt 2.71, 2 Ni 2.74
Pt 0.0000 0.0000 0.0000  4 Mo 2.71, 4 Ni 2.71, 2 Pt 2.74
Pt 0.5000 0.5000 0.0000  4 Mo 2.71, 4 Ni 2.71, 2 Pt 2.74

Summary:
* total magnetization: 0.15 μB/atom
* energy: -7.154 eV per atom
* DOS at the Fermi energy: 1.28 states/eV/atom
* SG: P4/mmm (123)
* crystal system: tetragonal
* ΔH_f (0 K): 19 meV per atom